A relaxed structure of CsPbI2O8. Source: the Alexandria database, functional GGA-PBE.

Output
The total energy is -4.4938 eV/atom. As for the uncorrected formation energy: -0.550 eV per atom.

```
data_CsPbI2O8
_chemical_formula_sum 'Cs2 Pb2 I4 O16'
_space_group_name_H-M_alt 'C 1 2/m 1'
_space_group_IT_number 12
_space_group_name_Hall '-C 2y'
_cell_length_a 11.247
_cell_length_b 6.384
_cell_length_c 7.738
_cell_angle_alpha 90.00
_cell_angle_beta 114.96
_cell_angle_gamma 90.00
loop_
_atom_site_label
_atom_site_fract_x
_atom_site_fract_y
_atom_site_fract_z
_atom_site_occupancy
Cs1 0.000 0.000 0.000 1
Pb1 0.000 0.500 0.500 1
I1 0.222 0.000 0.678 1
O1 0.098 0.500 0.259 1
O2 0.151 0.000 0.422 1
O3 0.154 0.241 0.738 1
```


A relaxed structure of MgTaNb. Source: the Alexandria database, functional GGA-PBE.

Output
The total energy is -7.3382 eV/atom. As for the calculated formation energy: 0.501 eV/atom. The calculation puts the distance to the lowest polymorph of the same formula at 0.3619 eV/atom.

```
data_MgTaNb
_chemical_formula_sum 'Mg8 Ta8 Nb8'
_space_group_name_H-M_alt 'F m m m'
_space_group_IT_number 69
_space_group_name_Hall '-F 2 2'
_cell_length_a 5.764
_cell_length_b 8.651
_cell_length_c 9.995
_cell_angle_alpha 90.00
_cell_angle_beta 90.00
_cell_angle_gamma 90.00
loop_
_atom_site_label
_atom_site_fract_x
_atom_site_fract_y
_atom_site_fract_z
_atom_site_occupancy
Mg1 0.000 0.171 0.000 1
Ta1 0.250 0.250 0.250 1
Nb1 0.000 0.000 0.329 1
```


A relaxed structure of VHg. Source: the Alexandria database, functional GGA-PBE.

Output
The total energy is -3.2663 eV/atom. As for the calculated formation energy: 1.444 eV/atom.

```
data_VHg
_chemical_formula_sum 'V4 Hg4'
_space_group_name_H-M_alt 'F -4 3 m'
_space_group_IT_number 216
_space_group_name_Hall 'F -4 2 3'
_cell_length_a 6.187
_cell_length_b 6.187
_cell_length_c 6.187
_cell_angle_alpha 90.00
_cell_angle_beta 90.00
_cell_angle_gamma 90.00
loop_
_atom_site_label
_atom_site_fract_x
_atom_site_fract_y
_atom_site_fract_z
_atom_site_occupancy
V1 0.000 0.000 0.000 1
Hg1 0.250 0.250 0.750 1
```


A relaxed structure of PrLuTlPd. Source: the Alexandria database, functional GGA-PBE.

Output
The total energy is -4.7089 eV/atom. As for the calculated formation energy: -0.494 eV/atom.

```
data_PrLuTlPd
_chemical_formula_sum 'Pr4 Lu4 Tl4 Pd4'
_space_group_name_H-M_alt 'F -4 3 m'
_space_group_IT_number 216
_space_group_name_Hall 'F -4 2 3'
_cell_length_a 7.408
_cell_length_b 7.408
_cell_length_c 7.408
_cell_angle_alpha 90.00
_cell_angle_beta 90.00
_cell_angle_gamma 90.00
loop_
_atom_site_label
_atom_site_fract_x
_atom_site_fract_y
_atom_site_fract_z
_atom_site_occupancy
Pr1 0.000 0.000 0.000 1
Lu1 0.000 0.000 0.500 1
Tl1 0.250 0.250 0.250 1
Pd1 0.250 0.250 0.750 1
```